Here is an optimized crystal structure of Al3PtF from Alexandria. Energies are from GGA-PBE.

Output
The calculation puts the uncorrected energy at -4.64 eV per atom. The formation energy without anion corrections comes out at -0.812 eV per atom. The spin magnetization is 0.00 μB/f.u.

```
data_Al3PtF
_space_group_name_H-M_alt 'P m -3 m'
_space_group_IT_number 221
_space_group_name_Hall '-P 4 2 3'
_cell_length_a 4.737
_cell_length_b 4.737
_cell_length_c 4.737
_cell_angle_alpha 90.00
_cell_angle_beta 90.00
_cell_angle_gamma 90.00
loop_
_atom_site_label
_atom_site_fract_x
_atom_site_fract_y
_atom_site_fract_z
Al1 0.000 0.000 0.500
Pt1 0.000 0.000 0.000
F1 0.500 0.500 0.500
```